{"formula": "ZrTcMo", "functional": "PBE", "state": "relaxed", "lattice_angstrom": [[-3.713, -1.290, -2.170], [3.969, -1.805, -1.072], [-0.428, -2.125, 1.994]], "species": ["Mo", "Tc", "Zr"], "fractional_positions": [[0.000, 0.000, 0.014], [0.667, 0.333, 0.322], [0.333, 0.667, 0.664]], "total_energy_ev_per_atom": -9.959, "m_tot_mub_per_fu": 0.0}